# 1
Computed, not measured: a relaxed Hf3Rh crystal at the PBE-GGA level of DFT.

a = 3.217 Å, b = 5.214 Å, c = 5.747 Å
α = 116.97°, β = 106.25°, γ = 90.00°
Fractional positions:
1 Hf 0.712 0.075 0.423
2 Hf 0.500 0.421 0.000
3 Hf 0.288 0.652 0.577
4 Rh 0.000 0.019 0.000



# 2
Computed, not measured: a relaxed SrThPdPt crystal at the PBE-GGA level of DFT.

a = 5.157 Å, b = 5.157 Å, c = 5.157 Å
α = 60.00°, β = 60.00°, γ = 60.00°
Fractional positions:
1 Th 0.750 0.750 0.750
2 Pt 0.500 0.500 0.500
3 Pd 0.000 0.000 0.000
4 Sr 0.250 0.250 0.250



| no. | theoretical density (Mg/m³) | ΔH_f (0 K) (meV/atom) | spin magnetization (μB/cell) |
| --- | --- | --- | --- |
| 1 | 13.00 | -378 | 0.00 |
| 2 | 10.64 | -728 | 0.00 |